Entry 1:
Material: PAuN2F
Method: DFT, PBE
State: optimized geometry

The uncorrected energy comes out at -4.83 eV per atom. The uncorrected formation energy is 0.607 eV per atom. The density of states at the Fermi level comes out at 0.3517 states/eV/atom.

a = 3.322 Å, b = 3.322 Å, c = 5.899 Å
α = 90.00°, β = 90.00°, γ = 90.00°
Space group P4/mmm (No. 123)
Symmetry-distinct sites (fractional):
P (0.000, 0.000, 0.000)
Au (0.500, 0.500, 0.500)
N (0.000, 0.500, 0.000)
F (0.000, 0.000, 0.500)

=====

Entry 2:
Material: PAuN2F
Method: DFT, PBE
State: optimized geometry

The uncorrected energy comes out at -3.72 eV per atom. The uncorrected formation energy is 1.720 eV per atom. The density of states at the Fermi level comes out at 0.5612 states/eV/atom.

a = 4.079 Å, b = 4.079 Å, c = 4.130 Å
α = 90.00°, β = 90.00°, γ = 90.00°
Space group P4/mmm (No. 123)
Symmetry-distinct sites (fractional):
P (0.000, 0.000, 0.000)
Au (0.500, 0.500, 0.500)
N (0.000, 0.500, 0.500)
F (0.500, 0.500, 0.000)

=====

Entry 3:
Material: PAuNF2
Method: DFT, PBE
State: optimized geometry

The uncorrected energy comes out at -4.26 eV per atom. The uncorrected formation energy is -0.107 eV per atom. The density of states at the Fermi level comes out at 0.1219 states/eV/atom.

a = 4.445 Å, b = 4.445 Å, c = 3.264 Å
α = 90.00°, β = 90.00°, γ = 90.00°
Space group P4/mmm (No. 123)
Symmetry-distinct sites (fractional):
P (0.000, 0.000, 0.000)
Au (0.500, 0.500, 0.500)
N (0.000, 0.000, 0.500)
F (0.000, 0.500, 0.000)

=====

Entry 4:
Material: PbAuNF2
Method: DFT, PBE
State: optimized geometry

The uncorrected energy comes out at -3.85 eV per atom. The uncorrected formation energy is -0.040 eV per atom. The density of states at the Fermi level comes out at 0.3833 states/eV/atom.

a = 4.432 Å, b = 4.432 Å, c = 4.452 Å
α = 90.00°, β = 90.00°, γ = 90.00°
Space group P4/mmm (No. 123)
Symmetry-distinct sites (fractional):
Pb (0.000, 0.000, 0.000)
Au (0.500, 0.500, 0.500)
N (0.000, 0.000, 0.500)
F (0.000, 0.500, 0.000)

=====

Entry 5:
Material: PbAuN2F
Method: DFT, PBE
State: optimized geometry

The uncorrected energy comes out at -3.91 eV per atom. The uncorrected formation energy is 1.192 eV per atom. The density of states at the Fermi level comes out at 0.3649 states/eV/atom.

a = 4.418 Å, b = 4.418 Å, c = 4.375 Å
α = 90.00°, β = 90.00°, γ = 90.00°
Space group P4/mmm (No. 123)
Symmetry-distinct sites (fractional):
Pb (0.000, 0.000, 0.000)
Au (0.500, 0.500, 0.500)
N (0.000, 0.500, 0.000)
F (0.000, 0.000, 0.500)

=====

Entry 6:
Material: PbAuNF2
Method: DFT, PBE
State: optimized geometry

The uncorrected energy comes out at -4.04 eV per atom. The uncorrected formation energy is -0.225 eV per atom. The density of states at the Fermi level comes out at 0.4741 states/eV/atom.

a = 4.764 Å, b = 4.764 Å, c = 3.818 Å
α = 90.00°, β = 90.00°, γ = 90.00°
Space group P4/mmm (No. 123)
Symmetry-distinct sites (fractional):
Pb (0.000, 0.000, 0.000)
Au (0.500, 0.500, 0.500)
N (0.500, 0.500, 0.000)
F (0.000, 0.500, 0.500)